Record 1
The following is a PBE-GGA calculation of a relaxed LiMn2Ni crystal, from Alexandria via LeMat-Bulk.

a b c (Å): 2.3589 2.3589 8.1701
angles (deg): 90.00 90.00 90.00
With the nearest neighbours (Å) after each atom.
Space group P4/mmm (No. 123)
Symmetry-distinct sites (fractional):
1 Li 0.0000 0.0000 0.0000 x1  4 Li 2.36
2 Mn 0.5000 0.5000 0.2684 x2  4 Mn 2.36, 4 Ni 2.52
3 Ni 0.0000 0.0000 0.5000 x1  4 Ni 2.36, 8 Mn 2.52

Computed properties:
Magnetization, μB/f.u.: 1.49
Crystal system: tetragonal
Energy of formation, eV/atom: 0.3062

---

Record 2
The following is a PBE-GGA calculation of a relaxed Dy3Er7In crystal, from Alexandria via LeMat-Bulk.

a b c (Å): 6.9018 6.9018 8.4419
angles (deg): 90.00 90.00 120.00
With the nearest neighbours (Å) after each atom.
Space group P3m1 (No. 156)
Symmetry-distinct sites (fractional):
1 Dy 0.1675 0.3349 0.0000 x3  5 Er 3.41-3.49, 4 Dy 3.43-3.47, 1 In 3.48
2 Er 0.0059 0.5030 0.3375 x3  7 Er 3.39-3.51, 2 In 3.45, 2 Dy 3.46
3 Er 0.3307 0.1654 0.6601 x3  1 In 3.37, 8 Er 3.39-3.48, 2 Dy 3.49
4 Er 0.3333 0.6667 0.6718 x1  3 Dy 3.41, 9 Er 3.43-3.45
5 In 0.0000 0.0000 0.3366 x1  9 Er 3.37-3.45, 3 Dy 3.48

Computed properties:
Magnetization, μB/f.u.: 0.00
Crystal system: trigonal
Energy of formation, eV/atom: 0.1195